Record 1
Entry from Alexandria via LeMat-Bulk: a geometry-optimized ZrFe6Ge6 structure (PBEsol).

Cell lengths 4.9525, 4.9525, 7.9244 Å; angles 90.00, 90.00, 120.00 degrees
Fractional positions:
Zr 0.0000 0.0000 0.0000
Fe 0.0000 0.5000 0.2493
Fe 0.0000 0.5000 0.7507
Fe 0.5000 0.0000 0.2493
Fe 0.5000 0.0000 0.7507
Fe 0.5000 0.5000 0.2493
Fe 0.5000 0.5000 0.7507
Ge 0.0000 0.0000 0.3415
Ge 0.0000 0.0000 0.6585
Ge 0.3333 0.6667 0.0000
Ge 0.3333 0.6667 0.5000
Ge 0.6667 0.3333 0.0000
Ge 0.6667 0.3333 0.5000

Results
- Total magnetic moment: 0.5963 μB/atom
- VASP energy: -0.2736 hartree per atom
- Energy of formation: -0.33 eV per atom
- Symmetry: P6/mmm, No. 191

---

Record 2
Entry from Alexandria via LeMat-Bulk: a geometry-optimized Zr2FeGe2 structure (PBEsol).

Cell lengths 6.2722, 6.2722, 4.1645 Å; angles 90.00, 90.00, 90.00 degrees
Fractional positions:
Zr 0.1723 0.3277 0.0000
Zr 0.3277 0.8277 0.0000
Zr 0.6723 0.1723 0.0000
Zr 0.8277 0.6723 0.0000
Fe 0.0000 0.0000 0.5000
Fe 0.5000 0.5000 0.5000
Ge 0.1420 0.6420 0.5000
Ge 0.3580 0.1420 0.5000
Ge 0.6420 0.8580 0.5000
Ge 0.8580 0.3580 0.5000

Results
- Total magnetic moment: 0.0003 μB/atom
- VASP energy: -0.2965 hartree per atom
- Energy of formation: -0.66 eV per atom
- Symmetry: P4/mbm, No. 127

---

Record 3
Entry from Alexandria via LeMat-Bulk: a geometry-optimized HfFeH3 structure (PBEsol).

Cell lengths 3.6107, 3.6107, 3.6107 Å; angles 90.00, 90.00, 90.00 degrees
Fractional positions:
Hf 0.0000 0.0000 0.0000
Fe 0.5000 0.5000 0.5000
H 0.0000 0.0000 0.5000
H 0.0000 0.5000 0.0000
H 0.5000 0.0000 0.0000

Results
- Total magnetic moment: 0.5677 μB/atom
- VASP energy: -0.2044 hartree per atom
- Symmetry: Pm-3m, No. 221

---

Record 4
Entry from Alexandria via LeMat-Bulk: a geometry-optimized FeHg2H structure (PBEsol).

Cell lengths 4.4291, 4.4291, 4.4291 Å; angles 60.00, 60.00, 60.00 degrees
Fractional positions:
Fe 0.0000 0.0000 0.0000
Hg 0.2500 0.2500 0.2500
Hg 0.7500 0.7500 0.7500
H 0.5000 0.5000 0.5000

Results
- Total magnetic moment: 0.8531 μB/atom
- VASP energy: -0.0934 hartree per atom
- Symmetry: Fm-3m, No. 225

---

Record 5
Entry from Alexandria via LeMat-Bulk: a geometry-optimized Ta2FeHgH structure (PBEsol).

Cell lengths 4.4437, 4.4437, 4.8714 Å; angles 90.00, 90.00, 90.00 degrees
Fractional positions:
Ta 0.0000 0.5000 0.0000
Ta 0.5000 0.0000 0.0000
Fe 0.0000 0.0000 0.0000
Hg 0.0000 0.0000 0.5000
H 0.5000 0.5000 0.5000

Results
- Total magnetic moment: 0.0001 μB/atom
- VASP energy: -0.2287 hartree per atom
- Symmetry: P4/mmm, No. 123

---

Record 6
Entry from Alexandria via LeMat-Bulk: a geometry-optimized FeHgTeH2 structure (PBEsol).

Cell lengths 3.9236, 3.9236, 5.1236 Å; angles 90.00, 90.00, 90.00 degrees
Fractional positions:
Fe 0.0000 0.0000 0.0000
Hg 0.5000 0.5000 0.5000
Te 0.0000 0.0000 0.5000
H 0.0000 0.5000 0.0000
H 0.5000 0.0000 0.0000

Results
- Total magnetic moment: 0.5312 μB/atom
- VASP energy: -0.1257 hartree per atom
- Symmetry: P4/mmm, No. 123

---

Record 7
Entry from Alexandria via LeMat-Bulk: a geometry-optimized FeHIN2 structure (PBEsol).

Cell lengths 3.9369, 3.9369, 3.5027 Å; angles 90.00, 90.00, 90.00 degrees
Fractional positions:
Fe 0.0000 0.0000 0.0000
H 0.5000 0.5000 0.5000
I 0.5000 0.5000 0.0000
N 0.0000 0.5000 0.5000
N 0.5000 0.0000 0.5000

Results
- Total magnetic moment: 0.4189 μB/atom
- VASP energy: -0.1491 hartree per atom
- Symmetry: P4/mmm, No. 123

---

Record 8
Entry from Alexandria via LeMat-Bulk: a geometry-optimized Fe2HPbI structure (PBEsol).

Cell lengths 5.0773, 5.0773, 6.2745 Å; angles 90.00, 90.00, 90.00 degrees
Fractional positions:
Fe 0.0000 0.5000 0.0000
Fe 0.5000 0.0000 0.0000
H 0.0000 0.0000 0.5000
Pb 0.5000 0.5000 0.0000
I 0.5000 0.5000 0.5000

Results
- Total magnetic moment: 1.5427 μB/atom
- VASP energy: -0.1345 hartree per atom
- Symmetry: P4/mmm, No. 123